A plane-wave DFT calculation with GGA-PBEsol was carried out for a relaxed BaLi2Ru crystal.

The structure in POSCAR format:
```
BaLi2Ru
1.0
4.144 0.000 0.000
0.000 4.144 0.000
0.000 0.000 4.740
Ba Li Ru
1 2 1
Direct
0.000 0.000 0.500 Ba
0.000 0.500 0.000 Li
0.500 0.000 0.000 Li
0.500 0.500 0.500 Ru
```

Its energy of formation from the pure elements is 592 meV per atom. The calculation puts the energy relative to the lowest polymorph listed for this composition at 0.071 eV/atom. For the total magnetic moment, the calculation gives 0.001 μB per cell.